Nb2CrTe6 | PBE-GGA | relaxed Values from VASP.

The structure in Quantum ESPRESSO input format:
```
&SYSTEM
  ibrav = 0, nat = 18, ntyp = 3
/
ATOMIC_SPECIES
Te 127.60 Te.upf
Cr 52.00 Cr.upf
Nb 92.91 Nb.upf
CELL_PARAMETERS angstrom
-5.3760 3.3004 -2.8370
-3.7852 -5.9966 0.1967
-3.5234 2.4912 8.1435
ATOMIC_POSITIONS crystal
Te 0.6591 0.1635 0.9255
Te 0.3480 0.5057 0.7407
Te 0.1591 0.3365 0.4255
Te 0.1559 0.3323 0.0752
Te 0.8480 0.9943 0.2407
Te 0.8441 0.6677 0.9248
Te 0.6559 0.1677 0.5752
Te 0.6520 0.4943 0.2593
Te 0.3441 0.8323 0.4248
Te 0.8409 0.6635 0.5745
Te 0.1520 0.0057 0.7593
Te 0.3409 0.8365 0.0745
Cr 0.0000 0.0000 0.5000
Cr 0.5000 0.5000 0.0000
Nb 0.4706 0.1491 0.2456
Nb 0.0294 0.6491 0.2544
Nb 0.5294 0.8509 0.7544
Nb 0.9706 0.3509 0.7456
```

* space group: P2_1/c
* uncorrected formation energy: -0.171 eV/atom
* calculated density: 7.4 g/cm³
* crystal system: monoclinic
* energy above the lowest structure with this stoichiometry: 172 meV per atom

=====

Cs2SrB2O6 | PBE-GGA | relaxed Values from VASP.

The structure in Quantum ESPRESSO input format:
```
&SYSTEM
  ibrav = 0, nat = 11, ntyp = 4
/
ATOMIC_SPECIES
Cs 132.91 Cs.upf
O 16.00 O.upf
B 10.81 B.upf
Sr 87.62 Sr.upf
CELL_PARAMETERS angstrom
-0.3548 5.3995 -2.4313
-4.7071 -3.6131 -0.0997
1.1440 3.1944 6.9274
ATOMIC_POSITIONS crystal
Cs 0.7103 0.4206 0.1316
Cs 0.2897 0.5794 0.8684
O 0.2283 0.4566 0.2853
O 0.8273 0.0553 0.2841
O 0.2281 0.0553 0.2841
O 0.1727 0.9447 0.7159
O 0.7719 0.9447 0.7159
O 0.7717 0.5434 0.7147
B 0.9052 0.8104 0.7147
B 0.0948 0.1896 0.2853
Sr 0.5000 0.0000 0.5000
```

* space group: R-3m
* uncorrected formation energy: -2.123 eV/atom
* calculated density: 3.7 g/cm³
* crystal system: trigonal

=====

Tb2ZnB2Ru5 | PBE-GGA | relaxed Values from VASP.

The structure in Quantum ESPRESSO input format:
```
&SYSTEM
  ibrav = 0, nat = 20, ntyp = 4
/
ATOMIC_SPECIES
Ru 101.07 Ru.upf
Zn 65.41 Zn.upf
B 10.81 B.upf
Tb 158.93 Tb.upf
CELL_PARAMETERS angstrom
-0.5319 -1.1272 -2.8752
-2.6351 -8.4076 3.7837
-9.0749 3.0599 0.4792
ATOMIC_POSITIONS crystal
Ru 0.5000 0.5000 0.0000
Ru 0.5000 0.0000 0.5000
Ru 0.5000 0.5702 0.7191
Ru 0.5000 0.4298 0.2809
Ru 0.5000 0.9298 0.2191
Ru 0.5000 0.2809 0.5702
Ru 0.5000 0.7191 0.4298
Ru 0.5000 0.0702 0.7809
Ru 0.5000 0.2191 0.0702
Ru 0.5000 0.7809 0.9298
Zn 0.0000 0.0000 0.0000
Zn 0.0000 0.5000 0.5000
B 0.0000 0.6245 0.8755
B 0.0000 0.1245 0.6245
B 0.0000 0.3755 0.1245
B 0.0000 0.8755 0.3755
Tb 0.0000 0.6758 0.1758
Tb 0.0000 0.8242 0.6758
Tb 0.0000 0.1758 0.3242
Tb 0.0000 0.3242 0.8242
```

* space group: P4/mbm
* calculated density: 10.5 g/cm³
* crystal system: tetragonal
* formation enthalpy at 0 K: -348 meV/atom

=====

Cd7Sn | PBE-GGA | relaxed Values from VASP.

The structure in Quantum ESPRESSO input format:
```
&SYSTEM
  ibrav = 0, nat = 8, ntyp = 2
/
ATOMIC_SPECIES
Cd 112.41 Cd.upf
Sn 118.71 Sn.upf
CELL_PARAMETERS angstrom
-5.9074 1.6989 -1.8388
-5.1196 -2.8010 2.6662
-3.7669 3.3304 3.9854
ATOMIC_POSITIONS crystal
Cd 0.0000 0.0000 0.5000
Cd 0.5000 0.0000 0.5000
Cd 0.0000 0.5000 0.5000
Cd 0.5000 0.5000 0.5000
Cd 0.5000 0.0000 0.0000
Cd 0.5000 0.5000 0.0000
Cd 0.0000 0.5000 0.0000
Sn 0.0000 0.0000 0.0000
```

* space group: Fm-3m
* calculated density: 8.1 g/cm³
* crystal system: cubic
* energy above the lowest structure with this stoichiometry: 24 meV per atom
* formation enthalpy at 0 K: 49 meV/atom

=====

CoRe2Rh6 | PBE-GGA | relaxed Values from VASP.

The structure in Quantum ESPRESSO input format:
```
&SYSTEM
  ibrav = 0, nat = 9, ntyp = 3
/
ATOMIC_SPECIES
Rh 102.91 Rh.upf
Co 58.93 Co.upf
Re 186.21 Re.upf
CELL_PARAMETERS angstrom
-4.9909 -5.3927 2.5738
0.5495 -2.9319 7.1914
-1.3784 5.0587 -5.7553
ATOMIC_POSITIONS crystal
Rh 0.8566 0.6768 0.1798
Rh 0.8149 0.5000 0.3149
Rh 0.4970 0.6768 0.8202
Rh 0.1851 0.5000 0.6851
Rh 0.5030 0.3232 0.1798
Rh 0.1434 0.3232 0.8202
Co 0.5000 0.0000 0.5000
Re 0.1420 0.1420 0.0000
Re 0.8580 0.8580 0.0000
```

* space group: Immm
* calculated density: 13.3 g/cm³
* crystal system: orthorhombic
* formation enthalpy at 0 K: 175 meV/atom

=====

RbZrTl | PBE-GGA | relaxed Values from VASP.

The structure in Quantum ESPRESSO input format:
```
&SYSTEM
  ibrav = 0, nat = 3, ntyp = 3
/
ATOMIC_SPECIES
Zr 91.22 Zr.upf
Rb 85.47 Rb.upf
Tl 204.38 Tl.upf
CELL_PARAMETERS angstrom
4.8913 -2.8240 0.0000
0.0000 5.6479 0.0000
0.0000 0.0000 3.3458
ATOMIC_POSITIONS crystal
Zr 0.3333 0.6667 0.0000
Rb 0.6667 0.3333 0.5000
Tl 0.0000 0.0000 0.0000
```

* space group: P-6m2
* calculated density: 6.8 g/cm³
* crystal system: hexagonal
* energy above the lowest structure with this stoichiometry: 631 meV per atom
* formation enthalpy at 0 K: 696 meV/atom

=====

CeNiPt3 | PBE-GGA | relaxed Values from VASP.

The structure in Quantum ESPRESSO input format:
```
&SYSTEM
  ibrav = 0, nat = 10, ntyp = 3
/
ATOMIC_SPECIES
Pt 195.08 Pt.upf
Ce 140.12 Ce.upf
Ni 58.69 Ni.upf
CELL_PARAMETERS angstrom
-2.4666 4.1835 1.2009
-2.9317 -0.4404 -4.4873
-4.9008 -3.9191 3.5865
ATOMIC_POSITIONS crystal
Pt 0.0000 0.6021 0.3236
Pt 0.0000 0.3979 0.6764
Pt 0.0000 0.8979 0.8236
Pt 0.5000 0.0000 0.5000
Pt 0.0000 0.1021 0.1764
Pt 0.5000 0.5000 0.0000
Ce 0.5000 0.0000 0.0000
Ce 0.5000 0.5000 0.5000
Ni 0.0000 0.5000 0.0000
Ni 0.0000 0.0000 0.5000
```

* space group: Pbam
* calculated density: 13.4 g/cm³
* crystal system: orthorhombic
* energy above the lowest structure with this stoichiometry: 31 meV per atom
* formation enthalpy at 0 K: -361 meV/atom

=====

Cs2NdYO4 | PBE-GGA | relaxed Values from VASP.

The structure in Quantum ESPRESSO input format:
```
&SYSTEM
  ibrav = 0, nat = 8, ntyp = 4
/
ATOMIC_SPECIES
O 16.00 O.upf
Nd 144.24 Nd.upf
Cs 132.91 Cs.upf
Y 88.91 Y.upf
CELL_PARAMETERS angstrom
3.6381 0.0000 0.0000
0.0000 6.2971 0.1037
0.0000 -2.2016 6.8901
ATOMIC_POSITIONS crystal
O 0.0000 0.7312 0.1675
O 0.5000 0.2143 0.1670
O 0.5000 0.7857 0.8330
O 0.0000 0.2688 0.8325
Nd 0.5000 0.5000 0.0000
Cs 0.0000 0.5000 0.5000
Cs 0.5000 0.0000 0.5000
Y 0.0000 0.0000 0.0000
```

* space group: P2/m
* uncorrected formation energy: -2.550 eV/atom
* calculated density: 5.9 g/cm³
* crystal system: monoclinic

=====

La2CdTeRh | PBE-GGA | relaxed Values from VASP.

The structure in Quantum ESPRESSO input format:
```
&SYSTEM
  ibrav = 0, nat = 5, ntyp = 4
/
ATOMIC_SPECIES
Te 127.60 Te.upf
La 138.91 La.upf
Cd 112.41 Cd.upf
Rh 102.91 Rh.upf
CELL_PARAMETERS angstrom
5.4367 0.0000 0.0000
0.0000 5.4367 0.0000
0.0000 0.0000 5.2008
ATOMIC_POSITIONS crystal
Te 0.5000 0.5000 0.5000
La 0.5000 0.0000 0.0000
La 0.0000 0.5000 0.0000
Cd 0.0000 0.0000 0.5000
Rh 0.0000 0.0000 0.0000
```

* space group: P4/mmm
* uncorrected formation energy: -0.792 eV/atom
* calculated density: 6.7 g/cm³
* crystal system: tetragonal

=====

Ag3I2Br2 | PBE-GGA | relaxed Values from VASP.

The structure in Quantum ESPRESSO input format:
```
&SYSTEM
  ibrav = 0, nat = 7, ntyp = 3
/
ATOMIC_SPECIES
Br 79.90 Br.upf
I 126.90 I.upf
Ag 107.87 Ag.upf
CELL_PARAMETERS angstrom
4.4572 0.4764 -0.2606
-1.4173 6.8325 -0.1703
-0.5776 -1.3701 7.1502
ATOMIC_POSITIONS crystal
Br 0.6071 0.2476 0.8936
Br 0.3929 0.7524 0.1064
I 0.8579 0.7514 0.6258
I 0.1421 0.2486 0.3742
Ag 0.6730 0.4716 0.2591
Ag 0.3270 0.5284 0.7409
Ag 0.0000 0.0000 0.0000
```

* space group: P-1
* uncorrected formation energy: -0.228 eV/atom
* calculated density: 5.6 g/cm³
* crystal system: triclinic

=====

KCuAg2 | PBE-GGA | relaxed Values from VASP.

The structure in Quantum ESPRESSO input format:
```
&SYSTEM
  ibrav = 0, nat = 4, ntyp = 3
/
ATOMIC_SPECIES
Ag 107.87 Ag.upf
Cu 63.55 Cu.upf
K 39.10 K.upf
CELL_PARAMETERS angstrom
5.3340 0.0000 0.0000
0.0000 5.3340 0.0000
0.0000 0.0000 2.9763
ATOMIC_POSITIONS crystal
Ag 0.0000 0.0000 0.0000
Ag 0.5000 0.5000 0.0000
Cu 0.5000 0.0000 0.5000
K 0.0000 0.5000 0.5000
```

* space group: P4/mmm
* calculated density: 6.2 g/cm³
* crystal system: tetragonal
* energy above the lowest structure with this stoichiometry: 201 meV per atom
* formation enthalpy at 0 K: 431 meV/atom

=====

K3Ac3BiO8 | PBE-GGA | relaxed Values from VASP.

The structure in Quantum ESPRESSO input format:
```
&SYSTEM
  ibrav = 0, nat = 15, ntyp = 4
/
ATOMIC_SPECIES
O 16.00 O.upf
K 39.10 K.upf
Ac 227.00 Ac.upf
Bi 208.98 Bi.upf
CELL_PARAMETERS angstrom
7.5669 0.0000 0.0000
-3.7835 6.5531 -0.0232
0.0000 -4.3470 6.3922
ATOMIC_POSITIONS crystal
O 0.7854 0.0293 0.3147
O 0.7304 0.4608 0.6912
O 0.7562 0.9707 0.6853
O 0.7854 0.5708 0.3147
O 0.2146 0.9707 0.6853
O 0.2696 0.5392 0.3088
O 0.2438 0.0293 0.3147
O 0.2146 0.4292 0.6853
K 0.0000 0.5000 0.0000
K 0.0000 0.0000 0.0000
K 0.5000 0.5000 0.0000
Ac 0.5000 0.5000 0.5000
Ac 0.5000 0.0000 0.5000
Ac 0.0000 0.5000 0.5000
Bi 0.0000 0.0000 0.5000
```

* space group: R-3m
* uncorrected formation energy: -2.267 eV/atom
* calculated density: 6.0 g/cm³
* crystal system: trigonal